Record 1
A plane-wave DFT calculation with GGA-PBE was carried out for a relaxed ZnCu2HAu crystal.

Output
**Raw total energy**: -0.1175 hartree per atom
**Crystal system**: tetragonal

a b c (Å): 3.756 3.756 4.183
angles (deg): 90.00 90.00 90.00
Fractional positions:
Cu (0.500, 0.000, 0.000)
Cu (0.000, 0.500, 0.000)
Au (0.500, 0.500, 0.500)
H (0.000, 0.000, 0.000)
Zn (0.000, 0.000, 0.500)

---

Record 2
A plane-wave DFT calculation with GGA-PBE was carried out for a relaxed Zn2CuHAu crystal.

Output
**Raw total energy**: -0.0965 hartree per atom
**Crystal system**: tetragonal

a b c (Å): 4.324 4.324 3.350
angles (deg): 90.00 90.00 90.00
Fractional positions:
Zn (0.000, 0.500, 0.000)
Zn (0.500, 0.000, 0.000)
Cu (0.000, 0.000, 0.500)
Au (0.500, 0.500, 0.500)
H (0.000, 0.000, 0.000)

---

Record 3
A plane-wave DFT calculation with GGA-PBE was carried out for a relaxed Zr2CuHAu crystal.

Output
**Raw total energy**: -0.2162 hartree per atom
**Crystal system**: tetragonal

a b c (Å): 4.363 4.363 4.033
angles (deg): 90.00 90.00 90.00
Fractional positions:
Au (0.500, 0.500, 0.500)
H (0.000, 0.000, 0.000)
Zr (0.000, 0.500, 0.000)
Zr (0.500, 0.000, 0.000)
Cu (0.000, 0.000, 0.500)

---

Record 4
A plane-wave DFT calculation with GGA-PBE was carried out for a relaxed Zr2CuHAu crystal.

Output
**Raw total energy**: -0.2124 hartree per atom
**Crystal system**: tetragonal

a b c (Å): 4.296 4.296 4.204
angles (deg): 90.00 90.00 90.00
Fractional positions:
H (0.000, 0.000, 0.000)
Zr (0.500, 0.000, 0.000)
Zr (0.000, 0.500, 0.000)
Au (0.000, 0.000, 0.500)
Cu (0.500, 0.500, 0.500)

---

Record 5
A plane-wave DFT calculation with GGA-PBE was carried out for a relaxed HfCu2Au crystal.

Output
**Raw total energy**: -0.1892 hartree per atom
**Crystal system**: tetragonal
**DFT formation energy**: 208 meV/atom

a b c (Å): 7.204 7.204 5.763
angles (deg): 51.32 51.32 90.00
Fractional positions:
Au (0.000, 0.000, 0.000)
Au (0.750, 0.250, 0.500)
Cu (0.375, 0.365, 0.750)
Cu (0.635, 0.125, 0.250)
Cu (0.115, 0.625, 0.250)
Cu (0.875, 0.885, 0.750)
Hf (0.250, 0.750, 0.500)
Hf (0.500, 0.500, 0.000)

---

Record 6
A plane-wave DFT calculation with GGA-PBE was carried out for a relaxed Hf2CuAu crystal.

Output
**Raw total energy**: -0.2604 hartree per atom
**Crystal system**: tetragonal
**DFT formation energy**: -265 meV/atom

a b c (Å): 3.303 3.303 6.730
angles (deg): 90.00 90.00 90.00
Fractional positions:
Hf (0.000, 0.000, 0.234)
Hf (0.000, 0.000, 0.766)
Cu (0.500, 0.500, 0.000)
Au (0.500, 0.500, 0.500)